{"formula": "CsTeN2F", "functional": "SCAN", "state": "PBEsol geometry", "lattice": [[4.466, 0.000, 0.000], [0.000, 4.466, 0.000], [0.000, 0.000, 4.705]], "species": ["Cs", "N", "N", "Te", "F"], "frac_coords": [[0.000, 0.000, 0.000], [0.000, 0.500, 0.000], [0.500, 0.000, 0.000], [0.500, 0.500, 0.500], [0.000, 0.000, 0.500]], "magmom_total_mub_per_fu": 0.06, "raw_formation_energy_mev_per_atom": 1876, "total_energy_ev_per_atom": -17.560}

{"formula": "CsZrNF2", "functional": "SCAN", "state": "PBEsol geometry", "lattice": [[-1.157, -0.846, 4.313], [-4.293, -1.754, -1.496], [1.943, -4.454, -0.353]], "species": ["Cs", "N", "Zr", "F", "F"], "frac_coords": [[0.000, 0.000, 0.000], [0.500, 0.000, 0.000], [0.500, 0.500, 0.500], [0.000, 0.000, 0.500], [0.000, 0.500, 0.000]], "magmom_total_mub_per_fu": 1.49, "raw_formation_energy_mev_per_atom": 293, "total_energy_ev_per_atom": -16.683}

{"formula": "CsNaNbOF5", "functional": "SCAN", "state": "PBEsol geometry", "lattice": [[-7.502, 3.240, -1.590], [-4.638, -7.221, 7.165], [1.672, 8.713, 9.864]], "species": ["Cs", "Cs", "Cs", "Cs", "Cs", "Cs", "Cs", "Cs", "Na", "Na", "Na", "Na", "Na", "Na", "Na", "Na", "Nb", "Nb", "Nb", "Nb", "Nb", "Nb", "Nb", "Nb", "O", "O", "O", "O", "O", "O", "O", "O", "F", "F", "F", "F", "F", "F", "F", "F", "F", "F", "F", "F", "F", "F", "F", "F", "F", "F", "F", "F", "F", "F", "F", "F", "F", "F", "F", "F", "F", "F", "F", "F", "F", "F", "F", "F", "F", "F", "F", "F"], "frac_coords": [[0.000, 0.250, 0.425], [0.000, 0.750, 0.575], [0.500, 0.750, 0.075], [0.500, 0.250, 0.925], [0.000, 0.250, 0.883], [0.000, 0.750, 0.117], [0.500, 0.750, 0.617], [0.500, 0.250, 0.383], [0.755, 0.080, 0.146], [0.245, 0.920, 0.854], [0.745, 0.580, 0.354], [0.245, 0.420, 0.146], [0.255, 0.420, 0.646], [0.755, 0.580, 0.854], [0.255, 0.920, 0.354], [0.745, 0.080, 0.646], [0.755, 0.418, 0.133], [0.245, 0.582, 0.867], [0.745, 0.918, 0.367], [0.245, 0.082, 0.133], [0.255, 0.082, 0.633], [0.755, 0.918, 0.867], [0.255, 0.582, 0.367], [0.745, 0.418, 0.633], [0.789, 0.271, 0.084], [0.211, 0.729, 0.916], [0.711, 0.771, 0.416], [0.211, 0.229, 0.084], [0.289, 0.229, 0.584], [0.789, 0.771, 0.916], [0.289, 0.729, 0.416], [0.711, 0.271, 0.584], [0.979, 0.472, 0.120], [0.021, 0.528, 0.880], [0.521, 0.972, 0.380], [0.021, 0.028, 0.120], [0.479, 0.028, 0.620], [0.979, 0.972, 0.880], [0.479, 0.528, 0.380], [0.521, 0.472, 0.620], [0.777, 0.095, 0.315], [0.223, 0.905, 0.685], [0.723, 0.595, 0.185], [0.223, 0.405, 0.315], [0.277, 0.405, 0.815], [0.777, 0.595, 0.685], [0.277, 0.905, 0.185], [0.723, 0.095, 0.815], [0.523, 0.396, 0.157], [0.477, 0.604, 0.843], [0.977, 0.896, 0.343], [0.477, 0.104, 0.157], [0.023, 0.104, 0.657], [0.523, 0.896, 0.843], [0.023, 0.604, 0.343], [0.977, 0.396, 0.657], [0.698, 0.490, 0.002], [0.302, 0.510, 0.998], [0.802, 0.990, 0.498], [0.302, 0.010, 0.002], [0.198, 0.010, 0.502], [0.698, 0.990, 0.998], [0.198, 0.510, 0.498], [0.802, 0.490, 0.502], [0.784, 0.386, 0.279], [0.216, 0.614, 0.721], [0.716, 0.886, 0.221], [0.216, 0.114, 0.279], [0.284, 0.114, 0.779], [0.784, 0.886, 0.721], [0.284, 0.614, 0.221], [0.716, 0.386, 0.779]], "magmom_total_mub_per_fu": 0.08, "raw_formation_energy_mev_per_atom": -3122, "total_energy_ev_per_atom": -14.132}

{"formula": "Cs2NaNdF6", "functional": "SCAN", "state": "PBEsol geometry", "lattice": [[6.460, 0.000, 0.000], [3.230, 5.594, 0.000], [3.230, 1.865, 5.274]], "species": ["Cs", "Cs", "Na", "Nd", "F", "F", "F", "F", "F", "F"], "frac_coords": [[0.250, 0.250, 0.250], [0.750, 0.750, 0.750], [0.500, 0.500, 0.500], [0.000, 0.000, 0.000], [0.753, 0.753, 0.247], [0.247, 0.753, 0.753], [0.247, 0.247, 0.753], [0.753, 0.247, 0.753], [0.247, 0.753, 0.247], [0.753, 0.247, 0.247]], "magmom_total_mub_per_fu": 0.24, "raw_formation_energy_mev_per_atom": -3498, "total_energy_ev_per_atom": -17.963}

{"formula": "CsNaOF2", "functional": "SCAN", "state": "PBEsol geometry", "lattice": [[-3.551, 1.995, 1.826], [-2.462, -1.125, -3.558], [-1.130, -3.838, 1.995]], "species": ["Cs", "Na", "O", "F", "F"], "frac_coords": [[0.500, 0.500, 0.500], [0.000, 0.000, 0.000], [0.500, 0.000, 0.000], [0.000, 0.000, 0.500], [0.000, 0.500, 0.000]], "magmom_total_mub_per_fu": 2.02, "raw_formation_energy_mev_per_atom": -1704, "total_energy_ev_per_atom": -12.772}

{"formula": "Cs2NaSbF6", "functional": "SCAN", "state": "PBEsol geometry", "lattice": [[-4.520, 2.930, 3.441], [0.615, 0.469, 6.345], [1.202, 5.675, 2.684]], "species": ["Cs", "Cs", "Sb", "F", "F", "F", "F", "F", "F", "Na"], "frac_coords": [[0.250, 0.250, 0.250], [0.750, 0.750, 0.750], [0.000, 0.000, 0.000], [0.243, 0.757, 0.243], [0.243, 0.243, 0.757], [0.757, 0.757, 0.243], [0.757, 0.243, 0.243], [0.243, 0.757, 0.757], [0.757, 0.243, 0.757], [0.500, 0.500, 0.500]], "magmom_total_mub_per_fu": 0.00, "raw_formation_energy_mev_per_atom": -2762, "total_energy_ev_per_atom": -16.595}

{"formula": "Cs2NaSmF6", "functional": "SCAN", "state": "PBEsol geometry", "lattice": [[-1.663, -2.570, 5.644], [0.458, -6.341, 0.900], [4.514, -2.371, 3.902]], "species": ["Cs", "Cs", "Na", "Sm", "F", "F", "F", "F", "F", "F"], "frac_coords": [[0.750, 0.750, 0.750], [0.250, 0.250, 0.250], [0.500, 0.500, 0.500], [0.000, 0.000, 0.000], [0.245, 0.755, 0.245], [0.245, 0.245, 0.755], [0.755, 0.755, 0.245], [0.245, 0.755, 0.755], [0.755, 0.245, 0.755], [0.755, 0.245, 0.245]], "magmom_total_mub_per_fu": 0.25, "raw_formation_energy_mev_per_atom": -3524, "total_energy_ev_per_atom": -18.076}

{"formula": "CsNaSnF6", "functional": "SCAN", "state": "PBEsol geometry", "lattice": [[8.324, 0.000, 0.000], [0.000, 11.125, 0.000], [0.000, 0.000, 13.351]], "species": ["Cs", "Cs", "Cs", "Cs", "Cs", "Cs", "Cs", "Cs", "Na", "Na", "Na", "Na", "Na", "Na", "Na", "Na", "Sn", "Sn", "Sn", "Sn", "Sn", "Sn", "Sn", "Sn", "F", "F", "F", "F", "F", "F", "F", "F", "F", "F", "F", "F", "F", "F", "F", "F", "F", "F", "F", "F", "F", "F", "F", "F", "F", "F", "F", "F", "F", "F", "F", "F", "F", "F", "F", "F", "F", "F", "F", "F", "F", "F", "F", "F", "F", "F", "F", "F"], "frac_coords": [[0.500, 0.250, 0.118], [0.000, 0.750, 0.382], [0.500, 0.750, 0.882], [0.000, 0.250, 0.069], [0.500, 0.750, 0.431], [0.000, 0.750, 0.931], [0.500, 0.250, 0.569], [0.000, 0.250, 0.618], [0.253, 0.574, 0.143], [0.753, 0.426, 0.357], [0.247, 0.074, 0.357], [0.747, 0.926, 0.143], [0.747, 0.426, 0.857], [0.247, 0.574, 0.643], [0.753, 0.926, 0.643], [0.253, 0.074, 0.857], [0.749, 0.575, 0.137], [0.251, 0.925, 0.137], [0.751, 0.075, 0.363], [0.751, 0.575, 0.637], [0.249, 0.925, 0.637], [0.251, 0.425, 0.863], [0.749, 0.075, 0.863], [0.249, 0.425, 0.363], [0.715, 0.122, 0.721], [0.215, 0.878, 0.779], [0.785, 0.622, 0.779], [0.285, 0.378, 0.721], [0.285, 0.878, 0.279], [0.785, 0.122, 0.221], [0.215, 0.378, 0.221], [0.715, 0.622, 0.279], [0.802, 0.020, 0.000], [0.302, 0.980, 0.500], [0.698, 0.520, 0.500], [0.198, 0.480, 0.000], [0.198, 0.980, 0.000], [0.698, 0.020, 0.500], [0.302, 0.480, 0.500], [0.802, 0.520, 0.000], [0.980, 0.114, 0.844], [0.519, 0.035, 0.881], [0.480, 0.886, 0.656], [0.020, 0.386, 0.844], [0.020, 0.886, 0.156], [0.520, 0.114, 0.344], [0.480, 0.386, 0.344], [0.980, 0.614, 0.156], [0.788, 0.238, 0.419], [0.288, 0.762, 0.081], [0.712, 0.738, 0.081], [0.212, 0.262, 0.419], [0.212, 0.762, 0.581], [0.712, 0.238, 0.919], [0.288, 0.262, 0.919], [0.788, 0.738, 0.581], [0.782, 0.407, 0.187], [0.282, 0.593, 0.313], [0.718, 0.907, 0.313], [0.218, 0.093, 0.187], [0.218, 0.593, 0.813], [0.718, 0.407, 0.687], [0.282, 0.093, 0.687], [0.782, 0.907, 0.813], [0.519, 0.535, 0.119], [0.019, 0.465, 0.381], [0.981, 0.035, 0.381], [0.481, 0.965, 0.119], [0.481, 0.465, 0.881], [0.981, 0.535, 0.619], [0.019, 0.965, 0.619], [0.520, 0.614, 0.656]], "magmom_total_mub_per_fu": 0.14, "raw_formation_energy_mev_per_atom": -2892, "total_energy_ev_per_atom": -13.913}

{"formula": "Cs2NaTbF6", "functional": "SCAN", "state": "PBEsol geometry", "lattice": [[6.369, 0.000, 0.000], [3.184, 5.516, 0.000], [3.184, 1.839, 5.200]], "species": ["Cs", "Cs", "Na", "Tb", "F", "F", "F", "F", "F", "F"], "frac_coords": [[0.750, 0.750, 0.750], [0.250, 0.250, 0.250], [0.500, 0.500, 0.500], [0.000, 0.000, 0.000], [0.242, 0.758, 0.242], [0.242, 0.242, 0.758], [0.758, 0.758, 0.242], [0.242, 0.758, 0.758], [0.758, 0.242, 0.758], [0.758, 0.242, 0.242]], "magmom_total_mub_per_fu": 0.25, "raw_formation_energy_mev_per_atom": -3560, "total_energy_ev_per_atom": -18.344}

{"formula": "CsNiF3", "functional": "SCAN", "state": "PBEsol geometry", "lattice": [[-5.237, -0.690, -0.624], [0.328, -6.102, 3.999], [-1.233, 6.427, 3.240]], "species": ["Cs", "Cs", "Ni", "Ni", "F", "F", "F", "F", "F", "F"], "frac_coords": [[0.250, 0.667, 0.333], [0.750, 0.333, 0.667], [0.500, 0.000, 0.000], [0.000, 0.000, 0.000], [0.250, 0.238, 0.119], [0.750, 0.762, 0.881], [0.250, 0.881, 0.119], [0.750, 0.119, 0.881], [0.250, 0.881, 0.762], [0.750, 0.119, 0.238]], "magmom_total_mub_per_fu": 2.00, "raw_formation_energy_mev_per_atom": -2452, "total_energy_ev_per_atom": -15.373}

{"formula": "Cs2NiF6", "functional": "SCAN", "state": "PBEsol geometry", "lattice": [[-0.916, -3.074, -5.315], [4.803, -1.253, -3.728], [2.025, -5.838, -0.598]], "species": ["Cs", "Cs", "Ni", "F", "F", "F", "F", "F", "F"], "frac_coords": [[0.750, 0.750, 0.750], [0.250, 0.250, 0.250], [0.000, 0.000, 0.000], [0.204, 0.796, 0.204], [0.796, 0.796, 0.204], [0.204, 0.204, 0.796], [0.796, 0.204, 0.796], [0.204, 0.796, 0.796], [0.796, 0.204, 0.204]], "magmom_total_mub_per_fu": 0.01, "raw_formation_energy_mev_per_atom": -2489, "total_energy_ev_per_atom": -15.048}

{"formula": "CsNi2F6", "functional": "SCAN", "state": "PBEsol geometry", "lattice": [[-1.917, 0.760, 6.790], [-2.710, -5.509, 3.560], [3.787, -3.121, 5.126]], "species": ["Cs", "Cs", "Ni", "Ni", "Ni", "Ni", "F", "F", "F", "F", "F", "F", "F", "F", "F", "F", "F", "F"], "frac_coords": [[0.375, 0.375, 0.875], [0.625, 0.625, 0.125], [0.000, 0.500, 0.500], [0.000, 0.000, 0.000], [0.500, 0.000, 0.500], [0.000, 0.000, 0.500], [0.071, 0.679, 0.571], [0.071, 0.071, 0.179], [0.321, 0.321, 0.429], [0.929, 0.321, 0.429], [0.930, 0.320, 0.820], [0.321, 0.929, 0.429], [0.679, 0.679, 0.571], [0.321, 0.929, 0.821], [0.929, 0.929, 0.821], [0.679, 0.071, 0.571], [0.679, 0.071, 0.179], [0.070, 0.680, 0.180]], "magmom_total_mub_per_fu": 3.00, "raw_formation_energy_mev_per_atom": -2429, "total_energy_ev_per_atom": -12.584}

Question: Number 11 is which compound?
Answer: Cs2NiF6